# PrNiSb (PBE, optimized geometry)
data_PrNiSb
_cell_length_a 4.391
_cell_length_b 4.391
_cell_length_c 8.380
_cell_angle_alpha 90.00
_cell_angle_beta 90.00
_cell_angle_gamma 120.00
_space_group_name_H-M_alt 'P 1'
_space_group_IT_number 1
_space_group_name_Hall 'P 1'
loop_
_atom_site_label
_atom_site_fract_x
_atom_site_fract_y
_atom_site_fract_z
Pr1 0.000 0.000 0.000
Pr2 0.000 0.000 0.500
Ni1 0.333 0.667 0.250
Ni2 0.667 0.333 0.750
Sb1 0.333 0.667 0.750
Sb2 0.667 0.333 0.250
# E = -34.30 eV per cell
# Formation energy from raw total energies = -18.98 kcal/mol of atoms
# Crystal system = hexagonal
# Space group = P6_3/mmc (194)
# Spin magnetization = 0.00 μB per formula unit

***

# PrNi4Sb2 (PBE, optimized geometry)
data_PrNi4Sb2
_cell_length_a 7.712
_cell_length_b 7.712
_cell_length_c 4.036
_cell_angle_alpha 90.00
_cell_angle_beta 90.00
_cell_angle_gamma 90.00
_space_group_name_H-M_alt 'P 1'
_space_group_IT_number 1
_space_group_name_Hall 'P 1'
loop_
_atom_site_label
_atom_site_fract_x
_atom_site_fract_y
_atom_site_fract_z
Pr1 0.000 0.000 0.000
Pr2 0.500 0.500 0.500
Ni1 0.088 0.361 0.500
Ni2 0.139 0.588 0.000
Ni3 0.361 0.088 0.500
Ni4 0.412 0.861 0.000
Ni5 0.588 0.139 0.000
Ni6 0.639 0.912 0.500
Ni7 0.861 0.412 0.000
Ni8 0.912 0.639 0.500
Sb1 0.219 0.781 0.500
Sb2 0.281 0.281 0.000
Sb3 0.719 0.719 0.000
Sb4 0.781 0.219 0.500
# E = -77.81 eV per cell
# Formation energy from raw total energies = -9.08 kcal/mol of atoms
# Crystal system = tetragonal
# Space group = P4_2/mnm (136)
# Energy above the most stable polymorph in this dataset = 8 meV/atom
# Spin magnetization = 0.00 μB per formula unit

***

# Pr2ScNi4Sb3 (PBE, optimized geometry)
data_Pr2ScNi4Sb3
_cell_length_a 4.346
_cell_length_b 4.346
_cell_length_c 10.626
_cell_angle_alpha 90.00
_cell_angle_beta 90.00
_cell_angle_gamma 90.00
_space_group_name_H-M_alt 'P 1'
_space_group_IT_number 1
_space_group_name_Hall 'P 1'
loop_
_atom_site_label
_atom_site_fract_x
_atom_site_fract_y
_atom_site_fract_z
Pr1 0.000 0.500 0.229
Pr2 0.500 0.000 0.771
Sc1 0.000 0.000 0.500
Ni1 0.000 0.000 0.000
Ni2 0.000 0.500 0.636
Ni3 0.500 0.000 0.364
Ni4 0.500 0.500 0.000
Sb1 0.000 0.500 0.872
Sb2 0.500 0.000 0.128
Sb3 0.500 0.500 0.500
# E = -58.28 eV per cell
# Formation energy from raw total energies = -15.90 kcal/mol of atoms
# Crystal system = tetragonal
# Space group = P-4m2 (115)
# Spin magnetization = 0.00 μB per formula unit

***

# Pr2Ni4SnSb3 (PBE, optimized geometry)
data_Pr2Ni4SnSb3
_cell_length_a 4.445
_cell_length_b 4.445
_cell_length_c 10.221
_cell_angle_alpha 90.00
_cell_angle_beta 90.00
_cell_angle_gamma 90.00
_space_group_name_H-M_alt 'P 1'
_space_group_IT_number 1
_space_group_name_Hall 'P 1'
loop_
_atom_site_label
_atom_site_fract_x
_atom_site_fract_y
_atom_site_fract_z
Pr1 0.000 0.500 0.239
Pr2 0.500 0.000 0.761
Ni1 0.000 0.000 0.000
Ni2 0.000 0.500 0.628
Ni3 0.500 0.000 0.372
Ni4 0.500 0.500 0.000
Sn1 0.000 0.000 0.500
Sb1 0.000 0.500 0.874
Sb2 0.500 0.000 0.126
Sb3 0.500 0.500 0.500
# E = -55.47 eV per cell
# Formation energy from raw total energies = -14.79 kcal/mol of atoms
# Crystal system = tetragonal
# Space group = P-4m2 (115)
# Spin magnetization = 0.00 μB per formula unit

***

# SrPrNi2Sb2 (PBE, optimized geometry)
data_SrPrNi2Sb2
_cell_length_a 4.376
_cell_length_b 4.376
_cell_length_c 8.879
_cell_angle_alpha 90.00
_cell_angle_beta 90.00
_cell_angle_gamma 120.00
_space_group_name_H-M_alt 'P 1'
_space_group_IT_number 1
_space_group_name_Hall 'P 1'
loop_
_atom_site_label
_atom_site_fract_x
_atom_site_fract_y
_atom_site_fract_z
Sr1 0.000 0.000 0.000
Pr1 0.000 0.000 0.500
Ni1 0.333 0.667 0.725
Ni2 0.667 0.333 0.275
Sb1 0.333 0.667 0.258
Sb2 0.667 0.333 0.742
# E = -30.75 eV per cell
# Formation energy from raw total energies = -17.22 kcal/mol of atoms
# Crystal system = trigonal
# Space group = P-3m1 (164)
# Spin magnetization = 0.00 μB per formula unit

***

# Pr2ZnNi4Sb3 (PBE, optimized geometry)
data_Pr2ZnNi4Sb3
_cell_length_a 4.366
_cell_length_b 4.366
_cell_length_c 10.124
_cell_angle_alpha 90.00
_cell_angle_beta 90.00
_cell_angle_gamma 90.00
_space_group_name_H-M_alt 'P 1'
_space_group_IT_number 1
_space_group_name_Hall 'P 1'
loop_
_atom_site_label
_atom_site_fract_x
_atom_site_fract_y
_atom_site_fract_z
Pr1 0.000 0.500 0.246
Pr2 0.500 0.000 0.754
Zn1 0.000 0.000 0.500
Ni1 0.000 0.000 0.000
Ni2 0.000 0.500 0.622
Ni3 0.500 0.000 0.378
Ni4 0.500 0.500 0.000
Sb1 0.000 0.500 0.868
Sb2 0.500 0.000 0.132
Sb3 0.500 0.500 0.500
# E = -52.70 eV per cell
# Formation energy from raw total energies = -14.70 kcal/mol of atoms
# Crystal system = tetragonal
# Space group = P-4m2 (115)
# Spin magnetization = 0.00 μB per formula unit

***

# PrScNi (PBE, optimized geometry)
data_PrScNi
_cell_length_a 4.573
_cell_length_b 4.573
_cell_length_c 6.528
_cell_angle_alpha 90.00
_cell_angle_beta 90.00
_cell_angle_gamma 90.00
_space_group_name_H-M_alt 'P 1'
_space_group_IT_number 1
_space_group_name_Hall 'P 1'
loop_
_atom_site_label
_atom_site_fract_x
_atom_site_fract_y
_atom_site_fract_z
Pr1 0.250 0.250 0.115
Pr2 0.750 0.750 0.885
Sc1 0.250 0.750 0.500
Sc2 0.750 0.250 0.500
Ni1 0.250 0.250 0.703
Ni2 0.750 0.750 0.297
# E = -35.56 eV per cell
# Crystal system = tetragonal
# Space group = P4/nmm (129)
# Formation energy from the elements = -86 kJ/mol of formula units
# Energy above the most stable polymorph in this dataset = 0 meV/atom
# Spin magnetization = 0.00 μB per formula unit

***

# Pr3ScNi8 (PBE, optimized geometry)
data_Pr3ScNi8
_cell_length_a 8.910
_cell_length_b 8.910
_cell_length_c 8.910
_cell_angle_alpha 33.39
_cell_angle_beta 33.39
_cell_angle_gamma 33.39
_space_group_name_H-M_alt 'P 1'
_space_group_IT_number 1
_space_group_name_Hall 'P 1'
loop_
_atom_site_label
_atom_site_fract_x
_atom_site_fract_y
_atom_site_fract_z
Pr1 0.000 0.000 0.000
Pr2 0.126 0.126 0.126
Pr3 0.620 0.620 0.620
Sc1 0.497 0.497 0.497
Ni1 0.059 0.059 0.559
Ni2 0.059 0.559 0.059
Ni3 0.068 0.562 0.562
Ni4 0.311 0.311 0.311
Ni5 0.559 0.059 0.059
Ni6 0.562 0.068 0.562
Ni7 0.562 0.562 0.068
Ni8 0.812 0.812 0.812
# E = -70.79 eV per cell
# Crystal system = trigonal
# Space group = R3m (160)
# Formation energy from the elements = -373 kJ/mol of formula units
# Spin magnetization = 0.00 μB per formula unit

***

# Pr2ScNi (PBE, optimized geometry)
data_Pr2ScNi
_cell_length_a 3.635
_cell_length_b 3.635
_cell_length_c 7.885
_cell_angle_alpha 90.00
_cell_angle_beta 90.00
_cell_angle_gamma 90.00
_space_group_name_H-M_alt 'P 1'
_space_group_IT_number 1
_space_group_name_Hall 'P 1'
loop_
_atom_site_label
_atom_site_fract_x
_atom_site_fract_y
_atom_site_fract_z
Pr1 0.000 0.000 0.211
Pr2 0.000 0.000 0.789
Sc1 0.500 0.500 0.500
Ni1 0.500 0.500 0.000
# E = -21.79 eV per cell
# Crystal system = tetragonal
# Space group = P4/mmm (123)
# Formation energy from the elements = -11 kJ/mol of formula units
# Energy above the most stable polymorph in this dataset = 0 meV/atom
# Spin magnetization = 0.00 μB per formula unit

***

# PrScNi (PBE, optimized geometry)
data_PrScNi
_cell_length_a 6.486
_cell_length_b 6.486
_cell_length_c 6.486
_cell_angle_alpha 149.97
_cell_angle_beta 149.97
_cell_angle_gamma 42.98
_space_group_name_H-M_alt 'P 1'
_space_group_IT_number 1
_space_group_name_Hall 'P 1'
loop_
_atom_site_label
_atom_site_fract_x
_atom_site_fract_y
_atom_site_fract_z
Pr1 0.000 0.000 0.000
Sc1 0.269 0.269 0.000
Ni1 0.667 0.667 0.000
# E = -17.46 eV per cell
# Crystal system = tetragonal
# Space group = I4mm (107)
# Formation energy from the elements = -55 kJ/mol of formula units
# Energy above the most stable polymorph in this dataset = 105 meV/atom
# Spin magnetization = 0.00 μB per formula unit